[1]
# NaCdIrRu2

Crystalline NaCdIrRu2 at its relaxed geometry (PBE-GGA, Alexandria).

```
NaCdIrRu2
1.0
5.0038 0.0000 0.0000
0.0000 5.0038 0.0000
0.0000 0.0000 4.9899
Na Cd Ir Ru
1 1 1 2
direct
0.0000 0.0000 0.0000 Na
0.5000 0.5000 0.5000 Cd
0.5000 0.5000 0.0000 Ir
0.0000 0.5000 0.5000 Ru
0.5000 0.0000 0.5000 Ru
```

Summary:
D(E_F): 6.86 states/eV/cell
SG: No. 123
size of the total moment: 5.4 μB per cell
mass density: 7.0 g cm⁻³
formation energy: 2004.4 meV/atom



[2]
# NaCdIr2S

Crystalline NaCdIr2S at its relaxed geometry (PBE-GGA, Alexandria).

```
NaCdIr2S
1.0
5.0727 0.0000 0.0000
0.0000 5.0727 0.0000
0.0000 0.0000 4.9823
Na Cd Ir S
1 1 2 1
direct
0.0000 0.0000 0.0000 Na
0.5000 0.5000 0.5000 Cd
0.0000 0.5000 0.5000 Ir
0.5000 0.0000 0.5000 Ir
0.5000 0.5000 0.0000 S
```

Summary:
D(E_F): 7.16 states/eV/cell
SG: No. 123
size of the total moment: 2.8 μB per cell
mass density: 7.1 g cm⁻³
E_form (uncorrected): 1.5471 eV per atom



[3]
# NaSmCdIr

Crystalline NaSmCdIr at its relaxed geometry (PBE-GGA, Alexandria).

```
NaSmCdIr
1.0
0.0000 3.4917 3.4917
3.4917 0.0000 3.4917
3.4917 3.4917 0.0000
Na Sm Cd Ir
1 1 1 1
direct
0.0000 0.0000 0.0000 Na
0.2500 0.2500 0.2500 Sm
0.7500 0.7500 0.7500 Cd
0.5000 0.5000 0.5000 Ir
```

Summary:
D(E_F): 2.55 states/eV/cell
SG: No. 216
size of the total moment: 0.0 μB per cell
mass density: 9.3 g cm⁻³
formation energy: -165.6 meV/atom



[4]
# NaCdSnIr

Crystalline NaCdSnIr at its relaxed geometry (PBE-GGA, Alexandria).

```
NaCdSnIr
1.0
0.0000 3.3553 3.3553
3.3553 0.0000 3.3553
3.3553 3.3553 0.0000
Na Cd Sn Ir
1 1 1 1
direct
0.0000 0.0000 0.0000 Na
0.7500 0.7500 0.7500 Cd
0.2500 0.2500 0.2500 Sn
0.5000 0.5000 0.5000 Ir
```

Summary:
D(E_F): 2.03 states/eV/cell
SG: No. 216
size of the total moment: 0.0 μB per cell
mass density: 9.8 g cm⁻³
formation energy: -36.9 meV/atom



[5]
# Na2Sr6CdIr

Crystalline Na2Sr6CdIr at its relaxed geometry (PBE-GGA, Alexandria).

```
Na2Sr6CdIr
1.0
6.1817 -6.1808 0.0000
6.1817 6.1808 0.0000
-6.1505 0.0000 6.1886
Na Sr Cd Ir
2 6 1 1
direct
0.2500 0.7500 0.0000 Na
0.7500 0.2500 0.0000 Na
0.2349 0.2349 0.4993 Sr
0.2346 0.2346 0.9720 Sr
0.2354 0.7634 0.5002 Sr
0.7634 0.2354 0.5002 Sr
0.7634 0.7634 0.5008 Sr
0.7641 0.7641 0.0282 Sr
0.4990 0.4990 0.5001 Cd
0.9991 0.9991 0.5001 Ir
```

Summary:
D(E_F): 5.70 states/eV/cell
SG: No. 8
size of the total moment: 0.0 μB per cell
mass density: 3.1 g cm⁻³
formation energy: -103.8 meV/atom



[6]
# NbCdIr2

Crystalline NbCdIr2 at its relaxed geometry (PBE-GGA, Alexandria).

```
NbCdIr2
1.0
-3.6334 3.6334 2.8443
3.6334 -3.6334 2.8443
3.6334 3.6334 -2.8443
Nb Cd Ir
2 2 4
direct
0.0000 0.0000 0.0000 Nb
0.7500 0.2500 0.5000 Nb
0.2500 0.7500 0.5000 Cd
0.5000 0.5000 0.0000 Cd
0.0910 0.6250 0.9660 Ir
0.3750 0.3410 0.4660 Ir
0.6590 0.1250 0.0340 Ir
0.8750 0.9090 0.5340 Ir
```

Summary:
D(E_F): 4.81 states/eV/cell
SG: No. 122
size of the total moment: 0.0 μB per cell
mass density: 13.0 g cm⁻³
formation energy: 279.3 meV/atom